A plane-wave DFT calculation with GGA-PBE was carried out for Ac3RhN after structural relaxation.

- Magnetization: 0.000 μB/cell
- Symmetry: C2/c, No. 15
- Energy above the most stable polymorph in this dataset: 0.000 eV per atom
- Energy relative to the elements, uncorrected: -0.715 eV per atom

Unit cell a=9.432 b=9.432 c=7.448 alpha=98.20 beta=98.20 gamma=85.32
Element x y z (fractional)
Ac (0.030, 0.211, 0.131)
Ac (0.137, 0.617, 0.373)
Ac (0.211, 0.030, 0.631)
Ac (0.292, 0.429, 0.888)
Ac (0.383, 0.863, 0.127)
Ac (0.429, 0.292, 0.388)
Ac (0.571, 0.708, 0.612)
Ac (0.617, 0.137, 0.873)
Ac (0.708, 0.571, 0.112)
Ac (0.789, 0.970, 0.369)
Ac (0.863, 0.383, 0.627)
Ac (0.970, 0.789, 0.869)
Rh (0.089, 0.911, 0.250)
Rh (0.275, 0.725, 0.750)
Rh (0.725, 0.275, 0.250)
Rh (0.911, 0.089, 0.750)
N (0.221, 0.396, 0.189)
N (0.396, 0.221, 0.689)
N (0.604, 0.779, 0.311)
N (0.779, 0.604, 0.811)

A plane-wave DFT calculation with GGA-PBE was carried out for NaCa3Rh after structural relaxation.

- Magnetization: 0.000 μB/cell
- Symmetry: C2/m, No. 12
- Energy above the most stable polymorph in this dataset: 0.093 eV per atom
- DFT formation energy: -0.1113 eV/atom

Unit cell a=7.679 b=7.679 c=8.185 alpha=118.59 beta=118.59 gamma=59.65
Element x y z (fractional)
Na (0.081, 0.081, 0.247)
Na (0.919, 0.919, 0.753)
Ca (0.085, 0.586, 0.256)
Ca (0.412, 0.412, 0.743)
Ca (0.414, 0.915, 0.744)
Ca (0.586, 0.085, 0.256)
Ca (0.588, 0.588, 0.257)
Ca (0.915, 0.414, 0.744)
Rh (0.335, 0.335, 0.002)
Rh (0.665, 0.665, 0.998)

A plane-wave DFT calculation with GGA-PBE was carried out for CrCN2 after structural relaxation.

- Magnetization: 7.859 μB/cell
- Symmetry: P6_3/mmc, No. 194
- Energy relative to the elements, uncorrected: 0.032 eV per atom

Unit cell a=3.254 b=3.254 c=9.478 alpha=90.00 beta=90.00 gamma=120.00
Element x y z (fractional)
Cr (0.000, 0.000, 0.000)
Cr (0.000, 0.000, 0.500)
C (0.333, 0.667, 0.250)
C (0.667, 0.333, 0.750)
N (0.333, 0.667, 0.119)
N (0.333, 0.667, 0.381)
N (0.667, 0.333, 0.619)
N (0.667, 0.333, 0.881)

A plane-wave DFT calculation with GGA-PBE was carried out for CdFe2AgPb after structural relaxation.

- Magnetization: 6.148 μB/cell
- Symmetry: P4/mmm, No. 123
- DFT formation energy: 1.0376 eV/atom

Unit cell a=4.861 b=4.861 c=5.105 alpha=90.00 beta=90.00 gamma=90.00
Element x y z (fractional)
Cd (0.000, 0.000, 0.000)
Fe (0.000, 0.500, 0.500)
Fe (0.500, 0.000, 0.500)
Ag (0.000, 0.000, 0.500)
Pb (0.500, 0.500, 0.000)

A plane-wave DFT calculation with GGA-PBE was carried out for Li4Sn2Pb3 after structural relaxation.

- Magnetization: 0.000 μB/cell
- Symmetry: P2_1/c, No. 14
- DFT formation energy: -0.1721 eV/atom

Unit cell a=8.048 b=8.273 c=6.923 alpha=90.00 beta=112.43 gamma=90.00
Element x y z (fractional)
Li (0.112, 0.171, 0.184)
Li (0.112, 0.329, 0.684)
Li (0.384, 0.015, 0.610)
Li (0.384, 0.485, 0.110)
Li (0.616, 0.515, 0.890)
Li (0.616, 0.985, 0.390)
Li (0.888, 0.671, 0.316)
Li (0.888, 0.829, 0.816)
Sn (0.389, 0.143, 0.999)
Sn (0.389, 0.357, 0.499)
Sn (0.611, 0.643, 0.501)
Sn (0.611, 0.857, 0.001)
Pb (0.000, 0.000, 0.500)
Pb (0.000, 0.500, 0.000)
Pb (0.244, 0.675, 0.708)
Pb (0.244, 0.825, 0.208)
Pb (0.756, 0.175, 0.792)
Pb (0.756, 0.325, 0.292)

A plane-wave DFT calculation with GGA-PBE was carried out for YHg3Pd after structural relaxation.

- Magnetization: 0.000 μB/cell
- Symmetry: Pm-3m, No. 221
- Energy above the most stable polymorph in this dataset: 1.097 eV per atom
- DFT formation energy: 0.7289 eV/atom

Unit cell a=5.747 b=5.747 c=5.747 alpha=90.00 beta=90.00 gamma=90.00
Element x y z (fractional)
Y (0.000, 0.000, 0.000)
Hg (0.000, 0.000, 0.500)
Hg (0.000, 0.500, 0.000)
Hg (0.500, 0.000, 0.000)
Pd (0.500, 0.500, 0.500)

A plane-wave DFT calculation with GGA-PBE was carried out for CdAgMo after structural relaxation.

- Magnetization: 1.051 μB/cell
- Symmetry: F-43m, No. 216
- Energy above the most stable polymorph in this dataset: 0.726 eV per atom
- DFT formation energy: 1.0781 eV/atom

Unit cell a=4.455 b=4.455 c=4.455 alpha=60.00 beta=60.00 gamma=60.00
Element x y z (fractional)
Cd (0.000, 0.000, 0.000)
Ag (0.750, 0.750, 0.750)
Mo (0.500, 0.500, 0.500)

A plane-wave DFT calculation with GGA-PBE was carried out for Cs2BaSnI6 after structural relaxation.

- Magnetization: 0.000 μB/cell
- Symmetry: P2_1/c, No. 14
- Energy above the most stable polymorph in this dataset: 0.000 eV per atom
- Energy relative to the elements, uncorrected: -1.309 eV per atom

Unit cell a=8.868 b=9.309 c=15.486 alpha=90.00 beta=124.31 gamma=90.00
Element x y z (fractional)
Cs (0.222, 0.073, 0.248)
Cs (0.222, 0.427, 0.748)
Cs (0.778, 0.573, 0.252)
Cs (0.778, 0.927, 0.752)
Ba (0.500, 0.000, 0.000)
Ba (0.500, 0.500, 0.500)
Sn (0.000, 0.000, 0.500)
Sn (0.000, 0.500, 0.000)
I (0.136, 0.211, 0.949)
I (0.136, 0.289, 0.449)
I (0.244, 0.692, 0.951)
I (0.244, 0.808, 0.451)
I (0.338, 0.023, 0.740)
I (0.338, 0.477, 0.240)
I (0.662, 0.523, 0.760)
I (0.662, 0.977, 0.260)
I (0.756, 0.192, 0.549)
I (0.756, 0.308, 0.049)
I (0.864, 0.711, 0.551)
I (0.864, 0.789, 0.051)